Record 1
Er3RuAu2 GGA-PBE relaxed; crystal system = tetragonal; M_tot = 0.00 μB per atom; E = -34.061 eV/cell; symmetry = No. 123
1.0
3.4746 0.0000 0.0000
0.0000 3.4746 0.0000
0.0000 0.0000 10.6677
Er Ru Au
3 1 2
Cartesian
0.0000 0.0000 0.0000 Er
0.0000 0.0000 3.6909 Er
0.0000 0.0000 6.9768 Er
1.7373 1.7373 5.3339 Ru
1.7373 1.7373 1.8327 Au
1.7373 1.7373 8.8350 Au

***

Record 2
BeF GGA-PBE relaxed; crystal system = hexagonal; M_tot = 0.00 μB per atom; raw formation energy = -1.440 eV per atom; E = -16.954 eV/cell; symmetry = No. 186
1.0
2.5290 0.0000 0.0000
-1.2645 2.1902 0.0000
0.0000 0.0000 9.2433
Be F
2 2
Cartesian
0.0000 1.4601 0.0000 Be
1.2645 0.7301 4.6217 Be
0.0000 1.4601 3.7290 F
1.2645 0.7301 8.3506 F